(1)
# Dy2MnTcN5, relaxed, DFT PBE
# Total moment (μB per cell): 9.95
# Formation energy from raw total energies (eV/atom): -0.73
data_Dy2MnTcN5
_chemical_formula_sum 'Dy8 Mn4 Tc4 N20'
_symmetry_space_group_name_H-M 'C m c 21'
_symmetry_Int_Tables_number 36
_symmetry_space_group_name_Hall 'C 2c -2'
_cell_length_a 3.229
_cell_length_b 14.022
_cell_length_c 9.329
_cell_angle_alpha 90.00
_cell_angle_beta 90.00
_cell_angle_gamma 90.00
loop_
_atom_site_label
_atom_site_type_symbol
_atom_site_fract_x
_atom_site_fract_y
_atom_site_fract_z
Dy1 Dy 0.000 0.118 0.000
Dy2 Dy 0.000 0.133 0.375
Mn1 Mn 0.000 0.218 0.690
Tc1 Tc 0.000 0.431 0.172
N1 N 0.000 0.022 0.754
N2 N 0.000 0.302 0.059
N3 N 0.000 0.310 0.328
N4 N 0.000 0.350 0.688
N5 N 0.000 0.482 0.988


(2)
# Cd4Au5, relaxed, DFT PBE
# Calculated formation energy (meV per atom): -139
# Total moment (μB per cell): 0.00
# E above lowest polymorph (meV/atom): 19
data_Cd4Au5
_chemical_formula_sum 'Cd8 Au10'
_symmetry_space_group_name_H-M 'P 63/m c m'
_symmetry_Int_Tables_number 193
_symmetry_space_group_name_Hall '-P 6c 2'
_cell_length_a 8.3502
_cell_length_b 8.3502
_cell_length_c 5.8163
_cell_angle_alpha 90.00
_cell_angle_beta 90.00
_cell_angle_gamma 120.00
loop_
_atom_site_label
_atom_site_type_symbol
_atom_site_fract_x
_atom_site_fract_y
_atom_site_fract_z
Cd1 Cd 0.0000 0.0000 0.0000
Cd2 Cd 0.0000 0.3642 0.2500
Au1 Au 0.0000 0.3037 0.7500
Au2 Au 0.3333 0.6667 0.0000


(3)
# TaTe2NF, relaxed, DFT PBE
# Total moment (μB per cell): 0.00
# Formation energy from raw total energies (eV/atom): -0.04
# E above lowest polymorph (meV/atom): 0
data_TaTe2NF
_chemical_formula_sum 'Ta1 Te2 N1 F1'
_symmetry_space_group_name_H-M 'P 4/m m m'
_symmetry_Int_Tables_number 123
_symmetry_space_group_name_Hall '-P 4 2'
_cell_length_a 5.477
_cell_length_b 5.477
_cell_length_c 3.876
_cell_angle_alpha 90.00
_cell_angle_beta 90.00
_cell_angle_gamma 90.00
loop_
_atom_site_label
_atom_site_type_symbol
_atom_site_fract_x
_atom_site_fract_y
_atom_site_fract_z
Ta1 Ta 0.000 0.000 0.000
Te1 Te 0.000 0.500 0.000
N1 N 0.000 0.000 0.500
F1 F 0.500 0.500 0.500


(4)
# DyPuCd4, relaxed, DFT PBE
# Calculated formation energy (meV per atom): -126
# Total moment (μB per cell): 23.10
# E above lowest polymorph (meV/atom): 50
data_DyPuCd4
_chemical_formula_sum 'Dy4 Pu4 Cd16'
_symmetry_space_group_name_H-M 'F -4 3 m'
_symmetry_Int_Tables_number 216
_symmetry_space_group_name_Hall 'F -4 2 3'
_cell_length_a 8.388
_cell_length_b 8.388
_cell_length_c 8.388
_cell_angle_alpha 90.00
_cell_angle_beta 90.00
_cell_angle_gamma 90.00
loop_
_atom_site_label
_atom_site_type_symbol
_atom_site_fract_x
_atom_site_fract_y
_atom_site_fract_z
Dy1 Dy 0.000 0.000 0.000
Pu1 Pu 0.250 0.250 0.250
Cd1 Cd 0.125 0.125 0.625


(5)
# SiBiN3, relaxed, DFT PBE
# Total moment (μB per cell): 0.00
# Formation energy from raw total energies (eV/atom): 0.54
data_SiBiN3
_chemical_formula_sum 'Si1 Bi1 N3'
_symmetry_space_group_name_H-M 'P m -3 m'
_symmetry_Int_Tables_number 221
_symmetry_space_group_name_Hall '-P 4 2 3'
_cell_length_a 3.752
_cell_length_b 3.752
_cell_length_c 3.752
_cell_angle_alpha 90.00
_cell_angle_beta 90.00
_cell_angle_gamma 90.00
loop_
_atom_site_label
_atom_site_type_symbol
_atom_site_fract_x
_atom_site_fract_y
_atom_site_fract_z
Si1 Si 0.000 0.000 0.000
Bi1 Bi 0.500 0.500 0.500
N1 N 0.000 0.000 0.500


(6)
# Sc2AlRu, relaxed, DFT PBE
# Calculated formation energy (meV per atom): -441
# Total moment (μB per cell): 0.00
data_Sc2AlRu
_chemical_formula_sum 'Sc4 Al2 Ru2'
_symmetry_space_group_name_H-M 'I -4 m 2'
_symmetry_Int_Tables_number 119
_symmetry_space_group_name_Hall 'I -4 -2'
_cell_length_a 4.595
_cell_length_b 4.595
_cell_length_c 6.520
_cell_angle_alpha 90.00
_cell_angle_beta 90.00
_cell_angle_gamma 90.00
loop_
_atom_site_label
_atom_site_type_symbol
_atom_site_fract_x
_atom_site_fract_y
_atom_site_fract_z
Sc1 Sc 0.000 0.000 0.000
Sc2 Sc 0.000 0.500 0.250
Al1 Al 0.000 0.500 0.750
Ru1 Ru 0.000 0.000 0.500


(7)
# As2OsSe, relaxed, DFT PBE
# Total moment (μB per cell): 0.00
# Formation energy from raw total energies (eV/atom): 0.52
# E above lowest polymorph (meV/atom): 423
data_As2OsSe
_chemical_formula_sum 'As2 Os1 Se1'
_symmetry_space_group_name_H-M 'P 1 2/m 1'
_symmetry_Int_Tables_number 10
_symmetry_space_group_name_Hall '-P 2y'
_cell_length_a 2.662
_cell_length_b 4.620
_cell_length_c 6.068
_cell_angle_alpha 90.00
_cell_angle_beta 90.22
_cell_angle_gamma 90.00
loop_
_atom_site_label
_atom_site_type_symbol
_atom_site_fract_x
_atom_site_fract_y
_atom_site_fract_z
As1 As 0.001 0.000 0.213
Os1 Os 0.000 0.500 0.000
Se1 Se 0.000 0.500 0.500


(8)
# NiCl2, relaxed, DFT PBE
# Total moment (μB per cell): 4.00
# Formation energy from raw total energies (eV/atom): 0.00
data_NiCl2
_chemical_formula_sum 'Ni2 Cl4'
_symmetry_space_group_name_H-M 'I 4/m m m'
_symmetry_Int_Tables_number 139
_symmetry_space_group_name_Hall '-I 4 2'
_cell_length_a 3.078
_cell_length_b 3.078
_cell_length_c 13.224
_cell_angle_alpha 90.00
_cell_angle_beta 90.00
_cell_angle_gamma 90.00
loop_
_atom_site_label
_atom_site_type_symbol
_atom_site_fract_x
_atom_site_fract_y
_atom_site_fract_z
Ni1 Ni 0.000 0.000 0.000
Cl1 Cl 0.000 0.000 0.389


D(E_F) readings, ordered: 0.2489, 0.1302, 1.0107, 2.1313, 0.6565, 0.8818, 0.7257, 0.8411 states/eV per atom